Record 1
{"formula": "NaNbGe", "functional": "PBE", "state": "relaxed", "lattice_angstrom": [[2.9989, 0.0000, 0.0000], [1.3050, 4.7614, 0.0000], [1.1367, 0.6608, 8.2848]], "species": ["Na", "Na", "Nb", "Nb", "Ge", "Ge"], "frac_coords": [[0.1517, 0.2580, 0.4180], [0.8483, 0.7420, 0.5820], [0.2484, 0.7625, 0.9249], [0.7516, 0.2375, 0.0751], [0.4111, 0.2566, 0.7870], [0.5889, 0.7434, 0.2130]], "rho_g_cm3": 5.29, "m_tot_mub_per_cell": 0.0, "delta_e_f_ev_per_fu": 0.00, "space_group": "No. 2"}

---

Record 2
{"formula": "NaNbGe", "functional": "PBE", "state": "relaxed", "lattice_angstrom": [[3.4555, 0.0000, 0.0000], [0.0000, 3.4555, 0.0000], [0.0000, 0.0000, 11.2780]], "species": ["Na", "Na", "Nb", "Nb", "Ge", "Ge"], "frac_coords": [[0.2500, 0.2500, 0.1360], [0.7500, 0.7500, 0.8640], [0.2500, 0.2500, 0.4313], [0.7500, 0.7500, 0.5687], [0.2500, 0.2500, 0.6787], [0.7500, 0.7500, 0.3213]], "rho_g_cm3": 4.65, "m_tot_mub_per_cell": 0.0, "delta_e_f_ev_per_fu": -0.70, "space_group": "No. 129"}

---

Record 3
{"formula": "NaNbGe", "functional": "PBE", "state": "relaxed", "lattice_angstrom": [[-2.0064, 2.0064, 7.9967], [2.0064, -2.0064, 7.9967], [2.0064, 2.0064, -7.9967]], "species": ["Na", "Na", "Nb", "Nb", "Ge", "Ge"], "frac_coords": [[0.1834, 0.1834, 0.0000], [0.8166, 0.8166, 0.0000], [0.0000, 0.5000, 0.5000], [0.5000, 0.0000, 0.5000], [0.3813, 0.3813, 0.0000], [0.6187, 0.6187, 0.0000]], "rho_g_cm3": 4.86, "m_tot_mub_per_cell": 0.0, "delta_e_f_ev_per_fu": -0.16, "space_group": "No. 139"}